Arrangement a

A plane-wave DFT calculation with PBE with a Hubbard U was carried out for LiCoPO after structural relaxation.

Structure (CIF):
```
data_LiCoPO
_symmetry_space_group_name_H-M 'P 1'
_symmetry_Int_Tables_number 1
_cell_length_a 3.640
_cell_length_b 3.640
_cell_length_c 6.209
_cell_angle_alpha 90.00
_cell_angle_beta 90.00
_cell_angle_gamma 90.00
loop_
_symmetry_equiv_pos_as_xyz
'x,y,z'
loop_
_atom_site_label
_atom_site_fract_x
_atom_site_fract_y
_atom_site_fract_z
Co1 0.000 0.000 0.500
Co2 0.500 0.500 0.500
Li1 0.500 0.000 0.105
Li2 0.000 0.500 0.895
O1 0.000 0.000 0.000
O2 0.500 0.500 0.000
P1 0.000 0.500 0.311
P2 0.500 0.000 0.689
```

Output
The total magnetic moment comes out at 0.0 μB per cell. For the volume, the calculation gives 41.1 Å³/f.u.

Arrangement b

A plane-wave DFT calculation with PBE with a Hubbard U was carried out for LiCoPO after structural relaxation.

Structure (CIF):
```
data_LiCoPO
_symmetry_space_group_name_H-M 'P 1'
_symmetry_Int_Tables_number 1
_cell_length_a 3.552
_cell_length_b 6.620
_cell_length_c 3.873
_cell_angle_alpha 90.00
_cell_angle_beta 90.00
_cell_angle_gamma 90.00
loop_
_symmetry_equiv_pos_as_xyz
'x,y,z'
loop_
_atom_site_label
_atom_site_fract_x
_atom_site_fract_y
_atom_site_fract_z
Co1 0.000 0.683 0.439
Co2 0.000 0.317 0.939
Li1 0.500 0.325 0.438
Li2 0.500 0.675 0.938
O1 0.000 0.382 0.439
O2 0.000 0.618 0.939
P1 0.500 0.906 0.438
P2 0.500 0.094 0.938
```

Output
The total magnetic moment comes out at 1.9 μB per cell. For the volume, the calculation gives 45.5 Å³/f.u.

Arrangement c

A plane-wave DFT calculation with PBE with a Hubbard U was carried out for LiCoPO after structural relaxation.

Structure (CIF):
```
data_LiCoPO
_symmetry_space_group_name_H-M 'P 1'
_symmetry_Int_Tables_number 1
_cell_length_a 3.428
_cell_length_b 3.428
_cell_length_c 8.728
_cell_angle_alpha 90.00
_cell_angle_beta 90.00
_cell_angle_gamma 90.00
loop_
_symmetry_equiv_pos_as_xyz
'x,y,z'
loop_
_atom_site_label
_atom_site_fract_x
_atom_site_fract_y
_atom_site_fract_z
Co1 0.000 0.000 0.115
Co2 0.500 0.500 0.885
Li1 0.500 0.000 0.500
Li2 0.000 0.500 0.500
O1 0.500 0.000 0.000
O2 0.000 0.500 0.000
P1 0.500 0.500 0.292
P2 0.000 0.000 0.708
```

Output
The total magnetic moment comes out at 4.2 μB per cell. For the volume, the calculation gives 51.3 Å³/f.u.

Arrangement d

A plane-wave DFT calculation with PBE with a Hubbard U was carried out for LiCoPO after structural relaxation.

Structure (CIF):
```
data_LiCoPO
_symmetry_space_group_name_H-M 'P 1'
_symmetry_Int_Tables_number 1
_cell_length_a 2.924
_cell_length_b 6.812
_cell_length_c 5.411
_cell_angle_alpha 90.00
_cell_angle_beta 90.00
_cell_angle_gamma 90.00
loop_
_symmetry_equiv_pos_as_xyz
'x,y,z'
loop_
_atom_site_label
_atom_site_fract_x
_atom_site_fract_y
_atom_site_fract_z
Co1 0.000 0.195 0.463
Co2 0.000 0.805 0.963
Li1 0.500 0.405 0.047
Li2 0.500 0.595 0.547
O1 0.500 0.357 0.383
O2 0.500 0.643 0.883
P1 0.000 0.880 0.361
P2 0.000 0.120 0.861
```

Output
The total magnetic moment comes out at 3.9 μB per cell. For the volume, the calculation gives 53.9 Å³/f.u.

Compare the structures above. Which one is the most stable? arrangement b is.